A relaxed Rb2PaFeO6 crystal. Source: Alexandria, functional PBE with a Hubbard U.

Structure (CIF):
```
data_Rb2PaFeO6
_chemical_formula_sum 'Rb2 Pa1 Fe1 O6'
_symmetry_space_group_name_H-M 'P 1'
_symmetry_Int_Tables_number 1
_cell_length_a 4.3348
_cell_length_b 4.3348
_cell_length_c 8.3405
_cell_angle_alpha 90.00
_cell_angle_beta 90.00
_cell_angle_gamma 90.00
loop_
_symmetry_equiv_pos_as_xyz
'x,y,z'
loop_
_atom_site_label
_atom_site_type_symbol
_atom_site_fract_x
_atom_site_fract_y
_atom_site_fract_z
Rb1 Rb 0.0000 0.0000 0.2304
Rb2 Rb 0.0000 0.0000 0.7696
Pa1 Pa 0.5000 0.5000 0.5000
Fe1 Fe 0.5000 0.5000 0.0000
O1 O 0.0000 0.5000 0.0000
O2 O 0.0000 0.5000 0.5000
O3 O 0.5000 0.0000 0.0000
O4 O 0.5000 0.0000 0.5000
O5 O 0.5000 0.5000 0.2351
O6 O 0.5000 0.5000 0.7649
```

Calculated values
**Spin magnetization**: 6.7 μB/f.u.
**E_tot**: -0.2443 hartree per atom
**SG**: P4/mmm (123)